Record 1
{"formula": "EuDy2Pt", "functional": "PBE-GGA", "state": "relaxed", "lattice": [[3.5714, 0.0000, 0.0000], [0.0000, 3.5714, 0.0000], [0.0000, 0.0000, 9.0548]], "species": ["Eu", "Dy", "Dy", "Pt"], "fractional_positions": [[0.0000, 0.0000, 0.0000], [0.5000, 0.5000, 0.3208], [0.5000, 0.5000, 0.6792], [0.0000, 0.0000, 0.5000]], "formation_energy_ev_per_atom": -0.57, "polymorph_energy_ev_per_fu": 0.00, "total_energy_ev_per_atom": -6.9533}



Record 2
{"formula": "BaYTa2", "functional": "PBE-GGA", "state": "relaxed", "lattice": [[5.6714, 0.0000, 0.0000], [0.0000, 5.6714, 0.0000], [0.0000, 0.0000, 3.1658]], "species": ["Ba", "Y", "Ta", "Ta"], "fractional_positions": [[0.0000, 0.0000, 0.0000], [0.5000, 0.5000, 0.0000], [0.0000, 0.5000, 0.5000], [0.5000, 0.0000, 0.5000]], "formation_energy_ev_per_atom": 1.21, "polymorph_energy_ev_per_fu": 3.11, "total_energy_ev_per_atom": -6.8145}



Record 3
{"formula": "Pm7Nd2Sm2", "functional": "PBE-GGA", "state": "relaxed", "lattice": [[5.0705, -4.7425, 0.0000], [5.0705, 4.7425, 0.0000], [-2.2597, 0.0000, 8.0566]], "species": ["Pm", "Pm", "Pm", "Pm", "Pm", "Pm", "Pm", "Nd", "Nd", "Sm", "Sm"], "fractional_positions": [[0.0000, 0.0000, 0.0000], [0.0993, 0.5077, 0.8246], [0.2858, 0.2858, 0.4777], [0.4923, 0.9007, 0.1754], [0.5077, 0.0993, 0.8246], [0.7142, 0.7142, 0.5223], [0.9007, 0.4923, 0.1754], [0.4175, 0.4175, 0.1784], [0.5825, 0.5825, 0.8216], [0.2009, 0.7991, 0.5000], [0.7991, 0.2009, 0.5000]], "formation_energy_ev_per_atom": 0.17, "polymorph_energy_ev_per_fu": 0.00, "total_energy_ev_per_atom": -4.5803}



Record 4
{"formula": "Dy2CuSi", "functional": "PBE-GGA", "state": "relaxed", "lattice": [[1.8171, 1.0491, 9.3746], [-1.8171, 1.0491, 9.3746], [0.0000, -2.0982, 9.3746]], "species": ["Dy", "Dy", "Cu", "Si"], "fractional_positions": [[0.1000, 0.1000, 0.1000], [0.9000, 0.9000, 0.9000], [0.0000, 0.0000, 0.0000], [0.5000, 0.5000, 0.5000]], "total_energy_ev_per_atom": -4.4205, "e_form_raw_ev_per_atom": 0.260}